The following is a DFT calculation (GGA-PBEsol) of crystalline Li2IrRh at its relaxed geometry.

Calculated values
Energy of formation from the pure elements, eV/atom: -0.09

Cell and atoms, written as CIF:
```
data_Li2IrRh
_space_group_name_H-M_alt 'C 1 m 1'
_space_group_IT_number 8
_cell_length_a 8.929
_cell_length_b 2.666
_cell_length_c 4.585
_cell_angle_alpha 90.00
_cell_angle_beta 100.46
_cell_angle_gamma 90.00
loop_
_space_group_symop_operation_xyz
'x,y,z'
'x,-y,z'
'x+1/2,y+1/2,z'
'x+1/2,-y+1/2,z'
loop_
_atom_site_label
_atom_site_type_symbol
_atom_site_fract_x
_atom_site_fract_y
_atom_site_fract_z
Li1 Li 0.000 0.000 0.000
Li2 Li 0.238 0.000 0.830
Ir1 Ir 0.490 0.000 0.487
Rh1 Rh 0.247 0.500 0.349
```

=====

The following is a DFT calculation (GGA-PBEsol) of crystalline CsHg2Bi2 at its relaxed geometry.

Calculated values
Energy of formation from the pure elements, eV/atom: -0.19

Cell and atoms, written as CIF:
```
data_CsHg2Bi2
_space_group_name_H-M_alt 'I 4/m m m'
_space_group_IT_number 139
_space_group_name_Hall '-I 4 2'
_cell_length_a 5.568
_cell_length_b 5.568
_cell_length_c 11.121
_cell_angle_alpha 90.00
_cell_angle_beta 90.00
_cell_angle_gamma 90.00
loop_
_atom_site_label
_atom_site_type_symbol
_atom_site_fract_x
_atom_site_fract_y
_atom_site_fract_z
Cs1 Cs 0.000 0.000 0.000
Hg1 Hg 0.000 0.500 0.250
Bi1 Bi 0.000 0.000 0.363
```

=====

The following is a DFT calculation (GGA-PBEsol) of crystalline Zr6Al16Os7 at its relaxed geometry.

Calculated values
Energy of formation from the pure elements, eV/atom: -0.57

Cell and atoms, written as CIF:
```
data_Zr6Al16Os7
_space_group_name_H-M_alt 'F m -3 m'
_space_group_IT_number 225
_space_group_name_Hall '-F 4 2 3'
_cell_length_a 12.272
_cell_length_b 12.272
_cell_length_c 12.272
_cell_angle_alpha 90.00
_cell_angle_beta 90.00
_cell_angle_gamma 90.00
loop_
_atom_site_label
_atom_site_type_symbol
_atom_site_fract_x
_atom_site_fract_y
_atom_site_fract_z
Zr1 Zr 0.000 0.000 0.208
Al1 Al 0.120 0.120 0.380
Al2 Al 0.163 0.163 0.163
Os1 Os 0.000 0.000 0.500
Os2 Os 0.000 0.250 0.250
```

=====

Total moment: 0.000, 0.000, 0.000 (μB per formula unit)